No. 1
A geometry-optimized Ba2AcTe4 structure, computed with GGA-PBE.

Cell lengths 4.806, 8.765, 15.187 Å; angles 90.00, 90.00, 105.91 degrees
Atoms (fractional coordinates):
1 Ba 0.870 0.740 0.568
2 Ba 0.130 0.260 0.068
3 Ba 0.870 0.740 0.932
4 Ba 0.130 0.260 0.432
5 Te 0.777 0.555 0.140
6 Te 0.981 0.962 0.750
7 Te 0.777 0.555 0.360
8 Te 0.019 0.038 0.250
9 Te 0.500 0.000 0.500
10 Te 0.223 0.445 0.860
11 Te 0.500 0.000 0.000
12 Te 0.223 0.445 0.640
13 Ac 0.610 0.221 0.750
14 Ac 0.390 0.779 0.250

Calculated values
Formation energy (no corrections)   -1.43 eV/atom
Calculated density   5.463 g/cm3
DOS at the Fermi energy   3.2 states/eV/f.u.
Total magnetization   0.6 μB/f.u.

No. 2
A geometry-optimized BaAc5Te8 structure, computed with GGA-PBE.

Cell lengths 8.702, 8.702, 8.702 Å; angles 109.41, 109.60, 109.41 degrees
Atoms (fractional coordinates):
1 Ac 0.371 0.122 0.995
2 Ac 0.751 0.624 0.629
3 Ac 0.500 0.000 0.500
4 Ac 0.873 0.878 0.249
5 Ac 0.005 0.376 0.127
6 Ba 0.250 0.500 0.750
7 Te 0.630 0.910 0.876
8 Te 0.632 0.401 0.879
9 Te 0.478 0.599 0.231
10 Te 0.769 0.247 0.368
11 Te 0.121 0.753 0.522
12 Te 0.280 0.246 0.370
13 Te 0.966 0.090 0.720
14 Te 0.124 0.754 0.034

Calculated values
Formation energy (no corrections)   -1.63 eV/atom
Calculated density   7.506 g/cm3
DOS at the Fermi energy   7.1 states/eV/f.u.
Total magnetization   0.0 μB/f.u.

No. 3
A geometry-optimized BaAc6Te8 structure, computed with GGA-PBE.

Cell lengths 4.906, 12.281, 12.281 Å; angles 120.00, 90.00, 90.00 degrees
Atoms (fractional coordinates):
1 Te 0.745 0.291 0.331
2 Te 0.747 0.667 0.333
3 Te 0.255 0.331 0.040
4 Te 0.745 0.669 0.960
5 Te 0.255 0.960 0.291
6 Te 0.253 0.333 0.667
7 Te 0.745 0.040 0.709
8 Te 0.255 0.709 0.669
9 Ac 0.753 0.131 0.481
10 Ac 0.753 0.350 0.869
11 Ac 0.247 0.481 0.350
12 Ac 0.753 0.519 0.650
13 Ac 0.247 0.869 0.519
14 Ac 0.247 0.650 0.131
15 Ba 0.500 0.000 0.000

Calculated values
Formation energy (no corrections)   -1.38 eV/atom
Calculated density   6.531 g/cm3
ΔE to the lowest computed polymorph   173 meV/atom
DOS at the Fermi energy   8.1 states/eV/f.u.
Total magnetization   2.7 μB/f.u.

No. 4
A geometry-optimized Ba4Ac3Te8 structure, computed with GGA-PBE.

Cell lengths 9.745, 9.739, 9.739 Å; angles 89.71, 120.35, 120.35 degrees
Atoms (fractional coordinates):
1 Te 0.489 0.739 0.739
2 Te 0.000 0.747 0.253
3 Te 0.500 0.254 0.746
4 Te 0.000 0.253 0.747
5 Te 0.015 0.258 0.258
6 Te 0.511 0.261 0.261
7 Te 0.500 0.746 0.254
8 Te 0.985 0.742 0.742
9 Ba 0.000 0.000 0.500
10 Ba 0.000 0.500 0.000
11 Ba 0.500 0.000 0.000
12 Ba 0.000 0.000 0.000
13 Ac 0.500 0.500 0.500
14 Ac 0.500 0.000 0.500
15 Ac 0.500 0.500 0.000

Calculated values
Formation energy (no corrections)   -1.62 eV/atom
Calculated density   5.766 g/cm3
DOS at the Fermi energy   3.5 states/eV/f.u.
Total magnetization   0.0 μB/f.u.

No. 5
A geometry-optimized Ba2AcTe3 structure, computed with GGA-PBE.

Cell lengths 8.465, 8.465, 8.502 Å; angles 99.56, 99.56, 119.97 degrees
Atoms (fractional coordinates):
1 Te 0.756 0.747 0.240
2 Te 0.253 0.244 0.760
3 Te 0.597 0.930 0.763
4 Te 0.911 0.586 0.760
5 Te 0.414 0.089 0.240
6 Te 0.070 0.403 0.237
7 Ac 0.001 0.999 0.000
8 Ac 0.666 0.334 0.000
9 Ba 0.170 0.830 0.500
10 Ba 0.497 0.503 0.500
11 Ba 0.333 0.667 0.000
12 Ba 0.833 0.167 0.500

Calculated values
Formation energy (no corrections)   -1.69 eV/atom
Calculated density   5.901 g/cm3
ΔE to the lowest computed polymorph   0 meV/atom
DOS at the Fermi energy   1.5 states/eV/f.u.
Total magnetization   0.0 μB/f.u.

No. 6
A geometry-optimized Ba2Ac3Te6 structure, computed with GGA-PBE.

Cell lengths 8.324, 8.316, 8.557 Å; angles 80.72, 71.21, 59.97 degrees
Atoms (fractional coordinates):
1 Ba 0.167 0.665 0.500
2 Ba 0.833 0.335 0.500
3 Ac 0.335 0.330 0.000
4 Ac 0.000 0.000 0.000
5 Ac 0.665 0.670 0.000
6 Te 0.410 0.665 0.767
7 Te 0.254 0.000 0.236
8 Te 0.590 0.335 0.233
9 Te 0.746 0.000 0.764
10 Te 0.924 0.665 0.233
11 Te 0.076 0.335 0.767

Calculated values
Formation energy (no corrections)   -1.63 eV/atom
Calculated density   5.887 g/cm3
DOS at the Fermi energy   4.0 states/eV/f.u.
Total magnetization   0.0 μB/f.u.

No. 7
A geometry-optimized BaAc4Te5 structure, computed with GGA-PBE.

Cell lengths 4.773, 4.773, 17.213 Å; angles 97.97, 97.97, 90.00 degrees
Atoms (fractional coordinates):
1 Ba 0.000 0.000 0.000
2 Te 0.500 0.500 0.000
3 Te 0.102 0.102 0.204
4 Te 0.699 0.699 0.399
5 Te 0.898 0.898 0.796
6 Te 0.301 0.301 0.601
7 Ac 0.798 0.798 0.597
8 Ac 0.202 0.202 0.403
9 Ac 0.601 0.601 0.201
10 Ac 0.399 0.399 0.799

Calculated values
Formation energy (no corrections)   -1.54 eV/atom
Calculated density   7.270 g/cm3
ΔE to the lowest computed polymorph   4 meV/atom
DOS at the Fermi energy   4.6 states/eV/f.u.
Total magnetization   0.0 μB/f.u.

No. 8
A geometry-optimized Ba5AcTe6 structure, computed with GGA-PBE.

Cell lengths 8.569, 8.572, 8.568 Å; angles 59.98, 80.40, 70.52 degrees
Atoms (fractional coordinates):
1 Ba 0.500 0.170 0.661
2 Ba 0.500 0.830 0.339
3 Ba 0.000 0.334 0.332
4 Ba 0.000 0.666 0.668
5 Ba 0.500 0.500 0.000
6 Ac 0.000 0.000 0.000
7 Te 0.757 0.403 0.677
8 Te 0.243 0.597 0.323
9 Te 0.245 0.240 0.000
10 Te 0.757 0.081 0.323
11 Te 0.755 0.760 0.000
12 Te 0.243 0.919 0.677

Calculated values
Formation energy (no corrections)   -1.74 eV/atom
Calculated density   5.428 g/cm3
DOS at the Fermi energy   3.1 states/eV/f.u.
Total magnetization   0.0 μB/f.u.

No. 9
A geometry-optimized Ba5Ac3Te8 structure, computed with GGA-PBE.

Cell lengths 9.742, 9.742, 9.793 Å; angles 60.17, 60.17, 60.00 degrees
Atoms (fractional coordinates):
1 Ba 0.500 0.000 0.000
2 Ba 0.500 0.500 0.000
3 Ba 0.500 0.500 0.500
4 Ba 0.000 0.000 0.000
5 Ba 0.000 0.500 0.000
6 Te 0.761 0.250 0.739
7 Te 0.250 0.250 0.739
8 Te 0.750 0.239 0.261
9 Te 0.250 0.761 0.739
10 Te 0.245 0.245 0.264
11 Te 0.755 0.755 0.736
12 Te 0.239 0.750 0.261
13 Te 0.750 0.750 0.261
14 Ac 0.000 0.500 0.500
15 Ac 0.500 0.000 0.500
16 Ac 0.000 0.000 0.500

Calculated values
Formation energy (no corrections)   -1.68 eV/atom
Calculated density   6.019 g/cm3
DOS at the Fermi energy   4.1 states/eV/f.u.
Total magnetization   0.0 μB/f.u.

No. 10
A geometry-optimized BaAc6Te8 structure, computed with GGA-PBE.

Cell lengths 9.474, 9.474, 9.474 Å; angles 60.00, 60.00, 60.00 degrees
Atoms (fractional coordinates):
1 Ac 0.000 0.000 0.500
2 Ac 0.500 0.000 0.500
3 Ac 0.500 0.500 0.000
4 Ac 0.500 0.000 0.000
5 Ac 0.000 0.500 0.500
6 Ac 0.000 0.500 0.000
7 Te 0.750 0.750 0.750
8 Te 0.250 0.250 0.250
9 Te 0.741 0.259 0.259
10 Te 0.741 0.741 0.259
11 Te 0.259 0.741 0.259
12 Te 0.741 0.259 0.741
13 Te 0.259 0.741 0.741
14 Te 0.259 0.259 0.741
15 Ba 0.000 0.000 0.000

Calculated values
Formation energy (no corrections)   -1.55 eV/atom
Calculated density   6.960 g/cm3
ΔE to the lowest computed polymorph   0 meV/atom
DOS at the Fermi energy   4.3 states/eV/f.u.
Total magnetization   0.0 μB/f.u.

No. 11
A geometry-optimized BaAc4Te5 structure, computed with GGA-PBE.

Cell lengths 4.779, 6.739, 12.637 Å; angles 105.46, 100.90, 90.00 degrees
Atoms (fractional coordinates):
1 Te 0.605 0.105 0.209
2 Te 0.199 0.699 0.397
3 Te 0.801 0.301 0.603
4 Te 0.395 0.895 0.791
5 Te 0.000 0.500 0.000
6 Ac 0.203 0.203 0.407
7 Ac 0.399 0.399 0.798
8 Ac 0.601 0.601 0.202
9 Ac 0.797 0.797 0.593
10 Ba 0.000 0.000 0.000

Calculated values
Formation energy (no corrections)   -1.54 eV/atom
Calculated density   7.266 g/cm3
ΔE to the lowest computed polymorph   0 meV/atom
DOS at the Fermi energy   5.1 states/eV/f.u.
Total magnetization   0.0 μB/f.u.

No. 12
A geometry-optimized BaAc2Te3 structure, computed with GGA-PBE.

Cell lengths 4.782, 6.785, 8.351 Å; angles 113.97, 106.64, 90.00 degrees
Atoms (fractional coordinates):
1 Ac 0.837 0.837 0.173
2 Ac 0.163 0.163 0.827
3 Te 0.500 0.000 0.500
4 Te 0.173 0.673 0.846
5 Te 0.827 0.327 0.154
6 Ba 0.500 0.500 0.500

Calculated values
Formation energy (no corrections)   -1.58 eV/atom
Calculated density   6.880 g/cm3
ΔE to the lowest computed polymorph   0 meV/atom
DOS at the Fermi energy   2.6 states/eV/f.u.
Total magnetization   0.0 μB/f.u.

No. 13
A geometry-optimized Ba2AcTe structure, computed with GGA-PBE.

Cell lengths 4.419, 4.419, 12.777 Å; angles 80.04, 80.04, 60.00 degrees
Atoms (fractional coordinates):
1 Ba 0.107 0.107 0.678
2 Ba 0.893 0.893 0.322
3 Ac 0.000 0.000 0.000
4 Te 0.500 0.500 0.500

Calculated values
Formation energy (no corrections)   -0.52 eV/atom
Calculated density   4.935 g/cm3
ΔE to the lowest computed polymorph   139 meV/atom
DOS at the Fermi energy   5.1 states/eV/f.u.
Total magnetization   0.7 μB/f.u.

No. 14
A geometry-optimized Ba2AcTe3 structure, computed with GGA-PBE.

Cell lengths 4.881, 6.916, 8.493 Å; angles 114.03, 106.70, 90.00 degrees
Atoms (fractional coordinates):
1 Te 0.500 0.000 0.500
2 Te 0.842 0.342 0.185
3 Te 0.158 0.658 0.815
4 Ba 0.169 0.169 0.839
5 Ba 0.831 0.831 0.161
6 Ac 0.500 0.500 0.500

Calculated values
Formation energy (no corrections)   -1.68 eV/atom
Calculated density   5.908 g/cm3
ΔE to the lowest computed polymorph   7 meV/atom
DOS at the Fermi energy   2.2 states/eV/f.u.
Total magnetization   0.0 μB/f.u.

No. 15
A geometry-optimized BaAc2Te3 structure, computed with GGA-PBE.

Cell lengths 4.769, 4.769, 24.041 Å; angles 90.00, 90.00, 120.00 degrees
Atoms (fractional coordinates):
1 Te 0.000 0.000 0.500
2 Te 0.000 0.000 0.000
3 Te 0.667 0.333 0.841
4 Te 0.333 0.667 0.341
5 Te 0.667 0.333 0.659
6 Te 0.333 0.667 0.159
7 Ac 0.667 0.333 0.079
8 Ac 0.667 0.333 0.421
9 Ac 0.333 0.667 0.921
10 Ac 0.333 0.667 0.579
11 Ba 0.000 0.000 0.750
12 Ba 0.000 0.000 0.250

Calculated values
Formation energy (no corrections)   -1.58 eV/atom
Calculated density   6.833 g/cm3
ΔE to the lowest computed polymorph   4 meV/atom
DOS at the Fermi energy   3.4 states/eV/f.u.
Total magnetization   0.0 μB/f.u.

No. 16
A geometry-optimized BaAcTe4 structure, computed with GGA-PBE.

Cell lengths 7.212, 7.212, 8.780 Å; angles 90.00, 90.00, 90.00 degrees
Atoms (fractional coordinates):
1 Te 0.148 0.352 0.766
2 Te 0.648 0.148 0.766
3 Te 0.852 0.352 0.234
4 Te 0.352 0.852 0.766
5 Te 0.852 0.648 0.766
6 Te 0.648 0.852 0.234
7 Te 0.352 0.148 0.234
8 Te 0.148 0.648 0.234
9 Ba 0.000 0.000 0.500
10 Ba 0.500 0.500 0.500
11 Ac 0.000 0.000 0.000
12 Ac 0.500 0.500 0.000

Calculated values
Formation energy (no corrections)   -1.18 eV/atom
Calculated density   6.361 g/cm3
DOS at the Fermi energy   4.7 states/eV/f.u.
Total magnetization   0.0 μB/f.u.

No. 17
A geometry-optimized BaAc3Te6 structure, computed with GGA-PBE.

Cell lengths 4.833, 13.321, 13.915 Å; angles 108.87, 90.00, 90.00 degrees
Atoms (fractional coordinates):
1 Te 0.250 0.605 0.944
2 Te 0.750 0.130 0.462
3 Te 0.250 0.870 0.538
4 Te 0.250 0.085 0.905
5 Te 0.750 0.915 0.095
6 Te 0.750 0.795 0.749
7 Te 0.250 0.509 0.382
8 Te 0.750 0.395 0.056
9 Te 0.250 0.263 0.725
10 Te 0.750 0.737 0.275
11 Te 0.750 0.491 0.618
12 Te 0.250 0.205 0.251
13 Ac 0.250 0.563 0.168
14 Ac 0.250 0.321 0.501
15 Ac 0.750 0.679 0.499
16 Ac 0.750 0.437 0.832
17 Ac 0.250 0.841 0.919
18 Ac 0.750 0.159 0.081
19 Ba 0.750 0.048 0.693
20 Ba 0.250 0.952 0.307

Calculated values
Formation energy (no corrections)   -1.47 eV/atom
Calculated density   6.205 g/cm3
DOS at the Fermi energy   10.0 states/eV/f.u.
Total magnetization   0.0 μB/f.u.

No. 18
A geometry-optimized Ba3Ac2ThTe6 structure, computed with GGA-PBE.

Cell lengths 4.744, 9.713, 10.794 Å; angles 104.48, 102.69, 90.00 degrees
Atoms (fractional coordinates):
1 Te 0.329 0.425 0.659
2 Te 0.000 0.230 0.000
3 Te 0.341 0.916 0.682
4 Te 0.659 0.084 0.318
5 Te 0.000 0.770 0.000
6 Te 0.671 0.575 0.341
7 Ba 0.500 0.500 0.000
8 Ba 0.169 0.833 0.338
9 Ba 0.831 0.167 0.662
10 Ac 0.164 0.327 0.327
11 Ac 0.836 0.673 0.673
12 Th 0.500 0.000 0.000

Calculated values
Formation energy (no corrections)   -1.52 eV/atom
Calculated density   6.599 g/cm3
DOS at the Fermi energy   7.4 states/eV/f.u.
Total magnetization   0.0 μB/f.u.

No. 19
A geometry-optimized Ba3Ac2TlTe6 structure, computed with GGA-PBE.

Cell lengths 4.882, 9.844, 10.906 Å; angles 102.22, 102.93, 90.00 degrees
Atoms (fractional coordinates):
1 Te 0.007 0.255 0.015
2 Te 0.993 0.745 0.985
3 Te 0.670 0.100 0.340
4 Te 0.330 0.900 0.660
5 Te 0.671 0.578 0.341
6 Te 0.329 0.422 0.659
7 Ba 0.839 0.162 0.678
8 Ba 0.500 0.500 0.000
9 Ba 0.161 0.838 0.322
10 Ac 0.834 0.667 0.669
11 Ac 0.166 0.333 0.331
12 Tl 0.500 0.000 0.000

Calculated values
Formation energy (no corrections)   -1.51 eV/atom
Calculated density   6.114 g/cm3
DOS at the Fermi energy   3.4 states/eV/f.u.
Total magnetization   0.0 μB/f.u.

No. 20
A geometry-optimized Ba3Ac3TmTe8 structure, computed with GGA-PBE.

Cell lengths 9.492, 9.492, 9.781 Å; angles 119.03, 90.00, 120.00 degrees
Atoms (fractional coordinates):
1 Te 0.746 0.492 0.738
2 Te 0.230 0.990 0.720
3 Te 0.239 0.010 0.280
4 Te 0.230 0.460 0.720
5 Te 0.770 0.540 0.280
6 Te 0.761 0.990 0.720
7 Te 0.254 0.508 0.262
8 Te 0.770 0.010 0.280
9 Ac 0.500 0.500 0.500
10 Ac 0.000 0.500 0.500
11 Ac 0.500 0.000 0.500
12 Tm 0.000 0.000 0.500
13 Ba 0.000 0.500 0.000
14 Ba 0.000 0.000 0.000
15 Ba 0.500 0.500 0.000

Calculated values
Formation energy (no corrections)   -1.60 eV/atom
Calculated density   5.996 g/cm3
DOS at the Fermi energy   5.4 states/eV/f.u.
Total magnetization   0.0 μB/f.u.